# 1
This record from Alexandria describes a relaxed structure of Dy2Zn5Cu12. The functional is PBE.

- crystal system = trigonal
- formation energy from the elements (kJ per mole of atoms) = -15.9

a = 6.552 Å, b = 6.552 Å, c = 6.552 Å
α = 82.53°, β = 82.53°, γ = 82.53°
Positions (direct):
Zn: 0.901 0.901 0.901
Zn: 0.099 0.099 0.099
Zn: 0.000 0.000 0.500
Zn: 0.500 0.000 0.000
Zn: 0.000 0.500 0.000
Cu: 0.652 0.157 0.652
Cu: 0.843 0.348 0.348
Cu: 0.303 0.697 0.000
Cu: 0.348 0.348 0.843
Cu: 0.000 0.697 0.303
Cu: 0.348 0.843 0.348
Cu: 0.157 0.652 0.652
Cu: 0.000 0.303 0.697
Cu: 0.697 0.000 0.303
Cu: 0.652 0.652 0.157
Cu: 0.697 0.303 0.000
Cu: 0.303 0.000 0.697
Dy: 0.351 0.351 0.351
Dy: 0.649 0.649 0.649

=====

# 2
This record from Alexandria describes a relaxed structure of TeMoPb. The functional is PBE.

- relative energy among the computed polymorphs (eV per formula unit) = 1.08
- crystal system = hexagonal
- uncorrected formation energy (kJ per mole of atoms) = 55

a = 4.783 Å, b = 4.783 Å, c = 3.600 Å
α = 90.00°, β = 90.00°, γ = 120.00°
Last column: magnetic moment on the atom in μB.
Positions (direct):
Mo: 0.000 0.000 0.833  0.91
Pb: 0.667 0.333 0.333  -0.01
Te: 0.333 0.667 0.833  -0.02

=====

# 3
This record from Alexandria describes a relaxed structure of In2Se2O7. The functional is PBE.

- crystal system = orthorhombic
- uncorrected formation energy (kJ per mole of atoms) = -110

a = 6.996 Å, b = 13.076 Å, c = 14.081 Å
α = 90.00°, β = 90.00°, γ = 90.00°
Positions (direct):
O: 0.352 0.472 0.400
O: 0.469 0.349 0.207
O: 0.648 0.528 0.600
O: 0.687 0.235 0.374
O: 0.352 0.972 0.100
O: 0.031 0.349 0.293
O: 0.148 0.972 0.400
O: 0.298 0.222 0.397
O: 0.202 0.222 0.103
O: 0.852 0.028 0.600
O: 0.187 0.265 0.626
O: 0.648 0.028 0.900
O: 0.026 0.904 0.984
O: 0.148 0.472 0.100
O: 0.531 0.651 0.793
O: 0.202 0.722 0.397
O: 0.813 0.735 0.374
O: 0.469 0.849 0.293
O: 0.187 0.765 0.874
O: 0.298 0.722 0.103
O: 0.459 0.094 0.247
O: 0.031 0.849 0.207
O: 0.798 0.278 0.603
O: 0.282 0.529 0.648
O: 0.974 0.096 0.016
O: 0.313 0.765 0.626
O: 0.852 0.528 0.900
O: 0.541 0.906 0.753
O: 0.718 0.471 0.352
O: 0.687 0.735 0.126
O: 0.959 0.406 0.753
O: 0.969 0.651 0.707
O: 0.702 0.278 0.897
O: 0.531 0.151 0.707
O: 0.474 0.404 0.984
O: 0.782 0.971 0.352
O: 0.459 0.594 0.253
O: 0.313 0.265 0.874
O: 0.218 0.029 0.648
O: 0.526 0.596 0.016
O: 0.041 0.594 0.247
O: 0.813 0.235 0.126
O: 0.541 0.406 0.747
O: 0.782 0.471 0.148
O: 0.026 0.404 0.516
O: 0.702 0.778 0.603
O: 0.959 0.906 0.747
O: 0.526 0.096 0.484
O: 0.218 0.529 0.852
O: 0.282 0.029 0.852
O: 0.474 0.904 0.516
O: 0.798 0.778 0.897
O: 0.974 0.596 0.484
O: 0.969 0.151 0.793
O: 0.718 0.971 0.148
O: 0.041 0.094 0.253
In: 0.250 0.167 0.750
In: 0.047 0.985 0.127
In: 0.953 0.515 0.627
In: 0.750 0.753 0.750
In: 0.750 0.333 0.250
In: 0.250 0.247 0.250
In: 0.750 0.833 0.250
In: 0.453 0.985 0.373
In: 0.250 0.667 0.750
In: 0.547 0.015 0.627
In: 0.750 0.253 0.750
In: 0.453 0.485 0.127
In: 0.047 0.485 0.373
In: 0.250 0.747 0.250
In: 0.547 0.515 0.873
In: 0.953 0.015 0.873
Se: 0.970 0.556 0.131
Se: 0.030 0.444 0.869
Se: 0.030 0.944 0.631
Se: 0.988 0.728 0.458
Se: 0.488 0.772 0.542
Se: 0.970 0.056 0.369
Se: 0.530 0.056 0.131
Se: 0.530 0.556 0.369
Se: 0.988 0.228 0.042
Se: 0.470 0.444 0.631
Se: 0.470 0.944 0.869
Se: 0.488 0.272 0.958
Se: 0.512 0.228 0.458
Se: 0.512 0.728 0.042
Se: 0.012 0.272 0.542
Se: 0.012 0.772 0.958

=====

# 4
This record from Alexandria describes a relaxed structure of Rb2CaRuF6. The functional is PBE.

- crystal system = cubic
- uncorrected formation energy (kJ per mole of atoms) = -251

a = 6.184 Å, b = 6.184 Å, c = 6.184 Å
α = 60.00°, β = 60.00°, γ = 90.00°
Positions (direct):
F: 0.756 0.244 0.000
F: 0.756 0.756 0.000
F: 0.244 0.756 0.000
F: 0.244 0.244 0.513
F: 0.756 0.756 0.487
F: 0.244 0.244 0.000
Rb: 0.750 0.250 0.500
Rb: 0.250 0.750 0.500
Ru: 0.000 0.000 0.000
Ca: 0.500 0.500 0.000

=====

# 5
This record from Alexandria describes a relaxed structure of CaPuAu10. The functional is PBE.

- crystal system = orthorhombic
- formation energy from the elements (kJ per mole of atoms) = -29.8

a = 4.705 Å, b = 5.575 Å, c = 9.734 Å
α = 90.00°, β = 90.00°, γ = 90.00°
Last column: magnetic moment on the atom in μB.
Positions (direct):
Au: 0.500 0.752 0.752  0.02
Au: 0.000 0.000 0.664  0.01
Au: 0.500 0.248 0.752  0.02
Au: 0.500 0.752 0.248  0.02
Au: 0.000 0.500 0.832  0.01
Au: 0.500 0.500 0.000  0.01
Au: 0.500 0.248 0.248  0.02
Au: 0.000 0.000 0.336  0.01
Au: 0.500 0.000 0.500  0.01
Au: 0.000 0.500 0.168  0.01
Ca: 0.000 0.500 0.500  0.01
Pu: 0.000 0.000 0.000  5.50

=====

# 6
This record from Alexandria describes a relaxed structure of SrZn2FePd. The functional is PBE.

- crystal system = tetragonal
- formation energy from the elements (kJ per mole of atoms) = 43.9

a = 4.872 Å, b = 5.587 Å, c = 4.872 Å
α = 90.00°, β = 90.00°, γ = 90.00°
Last column: magnetic moment on the atom in μB.
Positions (direct):
Sr: 0.000 0.500 0.000  -0.04
Fe: 0.500 0.500 0.500  3.15
Zn: 0.000 0.000 0.500  -0.02
Zn: 0.500 0.000 0.000  0.01
Pd: 0.000 0.000 0.000  0.01

=====

# 7
This record from Alexandria describes a relaxed structure of BePtSeBr2. The functional is PBE.

- relative energy among the computed polymorphs (eV per formula unit) = 0.00
- crystal system = tetragonal
- uncorrected formation energy (kJ per mole of atoms) = 51

a = 4.247 Å, b = 4.247 Å, c = 6.881 Å
α = 90.00°, β = 90.00°, γ = 90.00°
Positions (direct):
Be: 0.000 0.000 0.000
Se: 0.000 0.000 0.500
Br: 0.500 0.000 0.000
Br: 0.000 0.500 0.000
Pt: 0.500 0.500 0.500

=====

# 8
This record from Alexandria describes a relaxed structure of RbPCl. The functional is PBE.

- crystal system = monoclinic
- uncorrected formation energy (kJ per mole of atoms) = -92

a = 5.449 Å, b = 9.284 Å, c = 9.673 Å
α = 83.16°, β = 90.00°, γ = 90.00°
Positions (direct):
P: 0.648 0.962 0.965
P: 0.852 0.962 0.465
P: 0.352 0.038 0.035
P: 0.148 0.038 0.535
Cl: 0.416 0.327 0.358
Cl: 0.916 0.673 0.142
Cl: 0.084 0.327 0.858
Cl: 0.584 0.673 0.642
Rb: 0.083 0.683 0.819
Rb: 0.917 0.317 0.181
Rb: 0.583 0.317 0.681
Rb: 0.417 0.683 0.319

=====

# 9
This record from Alexandria describes a relaxed structure of AlBiPAu2. The functional is PBE.

- crystal system = tetragonal
- formation energy from the elements (kJ per mole of atoms) = 65.9

a = 4.734 Å, b = 5.798 Å, c = 4.734 Å
α = 90.00°, β = 90.00°, γ = 90.00°
Last column: magnetic moment on the atom in μB.
Positions (direct):
P: 0.500 0.500 0.500  0.34
Bi: 0.000 0.500 0.000  -0.03
Al: 0.000 0.000 0.000  0.00
Au: 0.500 0.000 0.000  0.05
Au: 0.000 0.000 0.500  0.03

=====

# 10
This record from Alexandria describes a relaxed structure of Ta2CuSe. The functional is PBE.

- crystal system = orthorhombic
- uncorrected formation energy (kJ per mole of atoms) = 8

a = 2.995 Å, b = 2.995 Å, c = 8.121 Å
α = 90.00°, β = 90.00°, γ = 106.61°
Positions (direct):
Se: 0.500 0.500 0.753
Ta: 0.000 0.000 0.993
Ta: 0.500 0.500 0.258
Cu: 0.000 0.000 0.497

=====

# 11
This record from Alexandria describes a relaxed structure of TiCrTeW2. The functional is PBE.

- crystal system = tetragonal
- uncorrected formation energy (kJ per mole of atoms) = 230

a = 4.864 Å, b = 4.792 Å, c = 4.864 Å
α = 90.00°, β = 90.00°, γ = 90.00°
Last column: magnetic moment on the atom in μB.
Positions (direct):
Te: 0.000 0.000 0.000  0.01
W: 0.000 0.000 0.500  0.37
W: 0.500 0.000 0.000  0.35
Ti: 0.000 0.500 0.000  0.38
Cr: 0.500 0.500 0.500  -0.15

=====

# 12
This record from Alexandria describes a relaxed structure of Ba2TaMoN5. The functional is PBE.

- crystal system = orthorhombic
- uncorrected formation energy (kJ per mole of atoms) = -75

a = 3.391 Å, b = 8.102 Å, c = 11.514 Å
α = 90.00°, β = 90.00°, γ = 102.08°
Positions (direct):
N: 0.328 0.656 0.002
N: 0.039 0.077 0.021
N: 0.706 0.412 0.133
N: 0.326 0.653 0.396
N: 0.961 0.923 0.521
N: 0.503 0.006 0.807
N: 0.674 0.347 0.896
N: 0.294 0.588 0.633
N: 0.497 0.994 0.307
N: 0.672 0.344 0.502
Ta: 0.787 0.574 0.531
Ta: 0.213 0.426 0.031
Ba: 0.883 0.765 0.173
Ba: 0.136 0.272 0.320
Ba: 0.117 0.235 0.673
Ba: 0.864 0.728 0.820
Mo: 0.559 0.118 0.941
Mo: 0.441 0.882 0.441